Below is Mn3Sb2I4O4 after structural relaxation, with properties calculated at the PBE with a Hubbard U level.

Lattice parameters (Å, degrees): 8.104 8.104 15.418 90.04 90.04 131.67
Fractional coordinates of all 26 atoms:
Mn: 0.000 0.500 0.000
Mn: 0.246 0.754 0.750
Mn: 0.252 0.748 0.250
Mn: 0.500 0.000 0.500
Mn: 0.748 0.252 0.750
Mn: 0.754 0.246 0.250
Sb: 0.089 0.411 0.562
Sb: 0.411 0.089 0.062
Sb: 0.589 0.911 0.938
Sb: 0.911 0.589 0.438
I: 0.132 0.369 0.155
I: 0.146 0.349 0.872
I: 0.349 0.146 0.372
I: 0.369 0.132 0.655
I: 0.631 0.868 0.345
I: 0.651 0.854 0.628
I: 0.854 0.651 0.128
I: 0.868 0.631 0.845
O: 0.024 0.477 0.674
O: 0.192 0.691 0.500
O: 0.309 0.808 0.000
O: 0.477 0.024 0.174
O: 0.523 0.976 0.826
O: 0.691 0.192 0.000
O: 0.808 0.309 0.500
O: 0.976 0.523 0.326

total magnetic moment = 15.00 μB/f.u.
calculated total energy = -0.20119 Ha/atom